Crystalline YZnHg at its relaxed geometry, computed with PBE.

a b c (Å): 5.9445 5.9449 3.5468
angles (deg): 72.64 72.65 34.71
Positions (direct):
Y: 0.3269 0.3269 0.6731
Hg: 0.0156 0.0156 0.9844
Zn: 0.6575 0.6575 0.3425

Calculated values
M_tot in μB per atom: 0.076
ΔE_f in eV per formula unit: -0.82
Volume in Å³ per cell: 68
Raw total energy in eV per atom: -2.9537

***

Crystalline Dy3NiRu at its relaxed geometry, computed with PBE.

a b c (Å): 4.1682 6.1012 8.9211
angles (deg): 89.63 90.00 89.99
Positions (direct):
Dy: 0.7501 0.7437 0.2499
Dy: 0.2499 0.2563 0.7500
Dy: 0.2500 0.7599 0.9453
Dy: 0.2501 0.7615 0.5546
Dy: 0.7499 0.2385 0.4454
Dy: 0.7500 0.2401 0.0547
Ru: 0.7500 0.9523 0.7497
Ru: 0.2500 0.0477 0.2503
Ni: 0.2503 0.4593 0.2499
Ni: 0.7497 0.5407 0.7501

Calculated values
E above lowest polymorph in meV/atom: 0
M_tot in μB per atom: 0.000
ΔE_f in eV per formula unit: -1.68
Volume in Å³ per cell: 227
Raw total energy in eV per atom: -6.1093

***

Crystalline Mg2SbCl at its relaxed geometry, computed with PBE.

a b c (Å): 6.8745 6.8745 6.8745
angles (deg): 145.94 145.94 48.93
Positions (direct):
Mg: 0.2500 0.7500 0.5000
Mg: 0.0000 0.0000 0.0000
Cl: 0.7500 0.2500 0.5000
Sb: 0.5000 0.5000 0.0000

Calculated values
E above lowest polymorph in meV/atom: 384
M_tot in μB per atom: 0.000
Volume in Å³ per cell: 101
Raw total energy in eV per atom: -2.6468
E_form (uncorrected) in eV/f.u.: -1.4

***

Crystalline MnRe2 at its relaxed geometry, computed with PBE.

a b c (Å): 5.1412 5.1412 6.3197
angles (deg): 75.17 75.17 30.66
Positions (direct):
Re: 0.3654 0.3654 0.5322
Re: 0.6346 0.6346 0.4678
Re: 0.6803 0.6803 0.8709
Re: 0.3197 0.3197 0.1291
Mn: 0.9752 0.9752 0.8040
Mn: 0.0248 0.0248 0.1960

Calculated values
M_tot in μB per atom: 0.000
ΔE_f in eV per formula unit: 0.16
Volume in Å³ per cell: 82
Raw total energy in eV per atom: -11.3030

***

Crystalline BaTlTc2 at its relaxed geometry, computed with PBE.

a b c (Å): 10.2574 10.2574 10.2574
angles (deg): 17.75 17.75 17.75
Positions (direct):
Tl: 0.2500 0.2500 0.2500
Tc: 0.9902 0.9902 0.9902
Tc: 0.5098 0.5098 0.5098
Ba: 0.7500 0.7500 0.7500

Calculated values
E above lowest polymorph in meV/atom: 958
M_tot in μB per atom: 0.492
ΔE_f in eV per formula unit: 5.07
Volume in Å³ per cell: 88
Raw total energy in eV per atom: -4.9867

***

Crystalline NaRuBr3 at its relaxed geometry, computed with PBE.

a b c (Å): 5.1820 5.1820 5.1820
angles (deg): 90.00 90.00 90.00
Positions (direct):
Br: 0.5000 0.0000 0.0000
Br: 0.0000 0.0000 0.5000
Br: 0.0000 0.5000 0.0000
Ru: 0.0000 0.0000 0.0000
Na: 0.5000 0.5000 0.5000

Calculated values
E above lowest polymorph in meV/atom: 0
M_tot in μB per atom: 0.321
Volume in Å³ per cell: 139
Raw total energy in eV per atom: -3.5001
E_form (uncorrected) in eV/f.u.: -1.9

***

raw total energy of number 3 (Mg2SbCl)? -2.6468 eV per atom